[1]
4
Lattice="0.000 3.680 3.680 3.680 0.000 3.680 3.680 3.680 0.000" Properties=species:S:1:pos:R:3 comment="LaTbInRu | Alexandria via LeMat-Bulk | GGA-PBE | relaxed" sg=F-43m ef_ev_per_fu=-0.98 pbc="T T T"
La 0.000 0.000 0.000
Tb 3.680 3.680 3.680
In 5.520 5.520 5.520
Ru 1.840 1.840 1.840

---

[2]
16
Lattice="6.856 -6.074 0.000 6.856 6.074 0.000 -2.951 0.000 5.645" Properties=species:S:1:pos:R:3 comment="Pr3Ir | Alexandria via LeMat-Bulk | GGA-PBE | relaxed" sg=C2 ef_ev_per_fu=-1.46 pbc="T T T"
Pr 0.000 0.000 0.000
Pr 6.904 -4.354 3.620
Pr 5.090 2.868 0.894
Pr 3.774 -0.736 0.594
Pr 3.635 0.569 3.676
Pr 1.270 -1.899 2.879
Pr 5.672 2.868 4.751
Pr 7.127 0.569 1.969
Pr 3.857 -4.354 2.024
Pr 6.856 -2.636 0.000
Pr 6.988 -0.736 5.050
Pr 9.491 -1.899 2.766
Ir 2.171 1.721 1.135
Ir 5.381 5.340 2.822
Ir 5.381 -1.910 2.822
Ir 8.591 1.721 4.510

---

[3]
4
Lattice="2.190 -2.187 0.000 2.190 2.187 0.000 -2.125 0.000 7.877" Properties=species:S:1:pos:R:3 comment="TaAgIrSe | Alexandria via LeMat-Bulk | GGA-PBE | relaxed" sg=Cm raw_formation_energy_kj_per_mol_atoms=-16.71 polymorph_energy_kcal_per_mol_atoms=0.57 pbc="T T T"
Ta 0.000 0.000 0.000
Ag -0.001 0.000 3.536
Ir 2.184 0.000 1.570
Se 0.065 0.000 6.213

---

[4]
7
Lattice="2.137 1.234 9.485 -2.137 1.234 9.485 0.000 -2.467 9.485" Properties=species:S:1:pos:R:3 comment="KCu4Te2 | Alexandria via LeMat-Bulk | GGA-PBE | relaxed" sg=R-3m raw_formation_energy_kj_per_mol_atoms=-16.98 pbc="T T T"
K 0.000 0.000 0.000
Cu 0.000 0.000 4.465
Cu 0.000 0.000 12.958
Cu 0.000 0.000 15.497
Cu 0.000 0.000 23.991
Te 0.000 0.000 7.058
Te 0.000 0.000 21.397

---

Uncorrected energy (Ha/atom)
-0.2072, -0.2266, -0.2549, -0.1312